[1]
The following is a GGA-PBEsol calculation of an optimized crystal structure of Na2CrOs, from Alexandria via LeMat-Bulk.

Lattice parameters (Å, degrees): 6.634 6.634 6.634 90.00 90.00 90.00
Space group Fm-3m (No. 225)
Symmetry-distinct sites (fractional):
Na 0.250 0.250 0.250
Cr 0.000 0.000 0.000
Os 0.000 0.000 0.500

Computed properties:
- Size of the total moment: 0.69 μB per atom
- Density of states at the Fermi level: 30.5 states/eV/cell
- Formation energy: 1.675 eV/atom



[2]
The following is a GGA-PBEsol calculation of an optimized crystal structure of LiLa2SbF, from Alexandria via LeMat-Bulk.

Lattice parameters (Å, degrees): 5.381 5.381 4.479 90.00 90.00 90.00
Space group P4/mmm (No. 123)
Symmetry-distinct sites (fractional):
Li 0.000 0.000 0.000
La 0.000 0.500 0.000
Sb 0.000 0.000 0.500
F 0.500 0.500 0.500

Computed properties:
- Size of the total moment: 0.00 μB per atom
- E_form (uncorrected): -0.6296 eV/atom
- Density of states at the Fermi level: 3.5 states/eV/cell



[3]
The following is a GGA-PBEsol calculation of an optimized crystal structure of BaSbPt2, from Alexandria via LeMat-Bulk.

Lattice parameters (Å, degrees): 4.5618 4.5618 16.7472 90.00 90.00 120.00
Space group R-3m (No. 166, hexagonal axes)
Symmetry-distinct sites (fractional):
Ba 0.0000 0.0000 0.0000
Sb 0.0000 0.0000 0.5000
Pt 0.0000 0.0000 0.1986

Computed properties:
- Size of the total moment: 0.00 μB per atom
- E_form (uncorrected): -0.6573 eV/atom
- Density of states at the Fermi level: 5.6 states/eV/cell



[4]
The following is a GGA-PBEsol calculation of an optimized crystal structure of MgTcHg2, from Alexandria via LeMat-Bulk.

Lattice parameters (Å, degrees): 4.423 4.423 3.608 90.00 90.00 90.00
Space group P4/mmm (No. 123)
Symmetry-distinct sites (fractional):
Mg 0.000 0.000 0.000
Tc 0.500 0.500 0.000
Hg 0.000 0.500 0.500

Computed properties:
- Size of the total moment: 0.00 μB per atom
- Density of states at the Fermi level: 2.4 states/eV/cell
- Formation energy: 0.201 eV/atom